Entry from the Alexandria database: a relaxed ZrOsPb2 crystal (PBE).

Cell: 3.373 3.322 8.917 Å, 79.04 90.00 90.00°
Atoms (fractional coordinates):
Pb: 0.000 0.214 0.938
Pb: 0.500 0.044 0.293
Os: 0.500 0.831 0.713
Zr: 0.000 0.411 0.556

Properties
Its energy above the most stable polymorph in this dataset is 0.0000 eV per atom. Its theoretical density is 11.78 g/cm3. For the total energy, the calculation gives -6.75 eV/atom. The space group is Pm (6). The volume comes out at 98 Å³/f.u.

---

Entry from the Alexandria database: a relaxed ZrOsPb2 crystal (PBE).

Cell: 3.270 3.270 9.512 Å, 90.00 90.00 118.59°
Atoms (fractional coordinates):
Os: 0.500 0.500 0.750
Pb: 0.000 0.000 0.981
Pb: 0.000 0.000 0.519
Zr: 0.500 0.500 0.250

Properties
Its energy above the most stable polymorph in this dataset is 0.5820 eV per atom. Its theoretical density is 12.94 g/cm3. For the total energy, the calculation gives -6.17 eV/atom. The space group is Cmmm (65). The volume comes out at 89 Å³/f.u.

---

Entry from the Alexandria database: a relaxed Zr4OsPb crystal (PBE).

Cell: 5.655 5.655 5.655 Å, 60.00 60.00 60.00°
Atoms (fractional coordinates):
Zr: 0.376 0.376 0.871
Zr: 0.376 0.376 0.376
Zr: 0.871 0.376 0.376
Zr: 0.376 0.871 0.376
Os: 0.750 0.750 0.750
Pb: 0.000 0.000 0.000

Properties
Its theoretical density is 9.90 g/cm3. For the total energy, the calculation gives -7.73 eV/atom. The space group is F-43m (216). The volume comes out at 128 Å³/f.u.

---

Entry from the Alexandria database: a relaxed ZrOsPb2 crystal (PBE).

Cell: 5.525 5.525 5.525 Å, 133.91 133.91 67.23°
Atoms (fractional coordinates):
Os: 0.750 0.250 0.500
Zr: 0.500 0.500 0.000
Pb: 0.250 0.750 0.500
Pb: 0.000 0.000 0.000

Properties
Its energy above the most stable polymorph in this dataset is 0.3930 eV per atom. Its theoretical density is 13.42 g/cm3. For the total energy, the calculation gives -6.36 eV/atom. The space group is I-4m2 (119). The volume comes out at 86 Å³/f.u.

---

Entry from the Alexandria database: a relaxed ZrOsPb2 crystal (PBE).

Cell: 4.928 4.928 4.928 Å, 60.00 60.00 60.00°
Atoms (fractional coordinates):
Zr: 0.000 0.000 0.000
Pb: 0.250 0.250 0.250
Pb: 0.750 0.750 0.750
Os: 0.500 0.500 0.500

Properties
Its energy above the most stable polymorph in this dataset is 0.4924 eV per atom. Its theoretical density is 13.66 g/cm3. For the total energy, the calculation gives -6.26 eV/atom. The space group is Fm-3m (225). The volume comes out at 85 Å³/f.u.

---

Entry from the Alexandria database: a relaxed Zr2Os2Pb crystal (PBE).

Cell: 7.784 7.784 3.267 Å, 90.00 90.00 90.00°
Atoms (fractional coordinates):
Os: 0.134 0.366 0.000
Os: 0.866 0.634 0.000
Os: 0.634 0.134 0.000
Os: 0.366 0.866 0.000
Zr: 0.658 0.842 0.500
Zr: 0.842 0.342 0.500
Zr: 0.158 0.658 0.500
Zr: 0.342 0.158 0.500
Pb: 0.500 0.500 0.000
Pb: 0.000 0.000 0.000

Properties
Its energy above the most stable polymorph in this dataset is 0.0000 eV per atom. Its theoretical density is 12.92 g/cm3. For the total energy, the calculation gives -8.70 eV/atom. The space group is P4/mbm (127). The volume comes out at 99 Å³/f.u.

---

Entry from the Alexandria database: a relaxed ZrOsPb2 crystal (PBE).

Cell: 5.981 5.981 5.219 Å, 64.29 64.29 32.29°
Atoms (fractional coordinates):
Pb: 0.529 0.529 0.471
Pb: 0.971 0.971 0.029
Zr: 0.750 0.750 0.750
Os: 0.250 0.250 0.250

Properties
Its energy above the most stable polymorph in this dataset is 0.3649 eV per atom. Its theoretical density is 12.99 g/cm3. For the total energy, the calculation gives -6.39 eV/atom. The space group is C2/m (12). The volume comes out at 89 Å³/f.u.

---

Entry from the Alexandria database: a relaxed ZrOsPb2 crystal (PBE).

Cell: 6.590 6.590 6.590 Å, 151.12 135.98 53.50°
Atoms (fractional coordinates):
Pb: 0.036 0.036 0.000
Pb: 0.747 0.247 0.500
Os: 0.273 0.773 0.500
Zr: 0.444 0.444 0.000

Properties
Its energy above the most stable polymorph in this dataset is 0.2648 eV per atom. Its theoretical density is 12.10 g/cm3. For the total energy, the calculation gives -6.49 eV/atom. The space group is Imm2 (44). The volume comes out at 96 Å³/f.u.

---

Spin magnetization / μB per formula unit: 0.00, 0.00, 0.00, 0.00, 0.08, 0.00, 0.00, 0.00
ΔH_f (0 K) / meV per atom: 48.2, 630.1, 461.9, 441.2, 540.5, -42.4, 413.1, 313.0